Record 1
A relaxed Ca5Si2Ge crystal, computed with GGA-PBE.

a b c (Å): 7.645 7.645 14.891
angles (deg): 90.00 90.00 90.00
Space group I4/mcm (No. 140)
Inequivalent atoms, fractional coordinates:
Ca: 0.000 0.000 0.000 x4
Ca: 0.179 0.321 0.140 x16
Si: 0.113 0.387 0.500 x8
Ge: 0.000 0.000 0.250 x4

Output
- Crystal system: tetragonal
- Final energy: -3.735 eV/atom
- V: 27.20 A^3/atom
- Formation energy (no corrections): -551 meV/atom

Record 2
A relaxed AcDy2Ga crystal, computed with GGA-PBE.

a b c (Å): 4.899 4.899 4.935
angles (deg): 90.00 90.00 90.00
Space group P4/mmm (No. 123)
Inequivalent atoms, fractional coordinates:
Ac: 0.000 0.000 0.000 x1
Dy: 0.000 0.500 0.500 x2
Ga: 0.500 0.500 0.000 x1

Output
- Crystal system: tetragonal
- Final energy: -4.210 eV/atom
- E_form: -0.50 eV/f.u.
- V: 29.61 A^3/atom